Entry 1:
An optimized crystal structure of PuBeCrO6, computed with PBE+U.

Results
**Crystal system**: trigonal
**Calculated total energy**: -0.602 Ry/atom

Cell: 4.9461 4.9461 8.8772 Å, 90.00 90.00 120.00°
Last column: nearest neighbours and their distance in Å.
Space group P-31c (No. 163)
Symmetry-distinct sites (fractional):
Pu (0.3333, 0.6667, 0.2500) [2 per cell]  6 O 2.02
Be (0.3333, 0.6667, 0.7500) [2 per cell]  6 O 1.88
Cr (0.0000, 0.0000, 0.0000) [2 per cell]  6 O 2.04
O (0.0212, 0.3480, 0.6313) [12 per cell]  1 Be 1.88, 1 Pu 2.02, 1 Cr 2.04


Entry 2:
An optimized crystal structure of RbBeCrO3, computed with PBE+U.

Results
**Crystal system**: monoclinic
**Calculated total energy**: -0.483 Ry/atom

Cell: 7.4642 3.0930 7.5789 Å, 90.00 113.79 90.00°
Last column: nearest neighbours and their distance in Å.
Space group P2_1/m (No. 11)
Symmetry-distinct sites (fractional):
Rb (0.2242, 0.2500, 0.2398) [2 per cell]  7 O 2.83-3.06, 2 Rb 3.09
Be (0.0796, 0.2500, 0.6083) [2 per cell]  4 O 1.58-1.74
Cr (0.3341, 0.7500, 0.8556) [2 per cell]  6 O 2.00-2.15
O (0.1447, 0.2500, 0.8346) [2 per cell]  1 Be 1.58
O (0.1502, 0.7500, 0.5524) [2 per cell]  3 Be 1.66-1.74
O (0.4868, 0.7500, 0.1409) [2 per cell]  3 Cr 2.00-2.04


Entry 3:
An optimized crystal structure of RbBeCr2O8, computed with PBE+U.

Results
**Crystal system**: trigonal
**Calculated total energy**: -0.463 Ry/atom

Cell: 5.2907 5.2907 7.7969 Å, 90.00 90.00 120.00°
Last column: nearest neighbours and their distance in Å.
Space group P-3 (No. 147)
Symmetry-distinct sites (fractional):
Rb (0.0000, 0.0000, 0.0000) [1 per cell]  12 O 3.13-3.20
Be (0.0000, 0.0000, 0.5000) [1 per cell]  6 O 1.81
Cr (0.3333, 0.6667, 0.7050) [2 per cell]  4 O 1.64-1.67
O (0.1595, 0.3212, 0.6362) [6 per cell]  1 Cr 1.67, 1 Be 1.81
O (0.3333, 0.6667, 0.9153) [2 per cell]  1 Cr 1.64


Entry 4:
An optimized crystal structure of Be2CrReO8, computed with PBE+U.

Results
**Crystal system**: trigonal
**Calculated total energy**: -0.510 Ry/atom

Cell: 5.2501 5.2501 5.4032 Å, 90.00 90.00 120.00°
Last column: nearest neighbours and their distance in Å.
Space group P-3m1 (No. 164)
Symmetry-distinct sites (fractional):
Be (0.3333, 0.6667, 0.3151) [2 per cell]  4 O 1.59-1.64
Cr (0.0000, 0.0000, 0.5000) [1 per cell]  6 O 2.09
Re (0.0000, 0.0000, 0.0000) [1 per cell]  6 O 1.90
O (0.1611, 0.3223, 0.2242) [6 per cell]  1 Be 1.64
O (0.3333, 0.6667, 0.6094) [2 per cell]  1 Be 1.59


Entry 5:
An optimized crystal structure of Be2CrRhO8, computed with PBE+U.

Results
**Crystal system**: trigonal
**Calculated total energy**: -0.450 Ry/atom

Cell: 5.2457 5.2457 5.2121 Å, 90.00 90.00 120.00°
Last column: nearest neighbours and their distance in Å.
Space group P-3 (No. 147)
Symmetry-distinct sites (fractional):
Be (0.3333, 0.6667, 0.3241) [2 per cell]  4 O 1.63-1.67
Cr (0.0000, 0.0000, 0.5000) [1 per cell]  6 O 1.97
Rh (0.0000, 0.0000, 0.0000) [1 per cell]  6 O 2.00
O (0.1064, 0.3231, 0.2545) [6 per cell]  1 Be 1.63
O (0.3333, 0.6667, 0.6452) [2 per cell]  1 Be 1.67


Entry 6:
An optimized crystal structure of BeCrSbO2, computed with PBE+U.

Results
**Crystal system**: tetragonal
**Calculated total energy**: -0.368 Ry/atom

Cell: 4.2056 4.2056 4.5707 Å, 90.00 90.00 90.00°
Last column: nearest neighbours and their distance in Å.
Space group P4/mmm (No. 123)
Symmetry-distinct sites (fractional):
Be (0.0000, 0.0000, 0.0000) [1 per cell]  2 Sb 2.29
Cr (0.5000, 0.5000, 0.0000) [1 per cell]  4 Be 2.97, 8 O 3.11
Sb (0.0000, 0.0000, 0.5000) [1 per cell]  4 O 2.10, 2 Be 2.29
O (0.0000, 0.5000, 0.5000) [2 per cell]  2 Sb 2.10


Entry 7:
An optimized crystal structure of Be2CrSbO, computed with PBE+U.

Results
**Crystal system**: tetragonal
**Calculated total energy**: -0.249 Ry/atom

Cell: 4.2236 4.2236 5.0300 Å, 90.00 90.00 90.00°
Last column: nearest neighbours and their distance in Å.
Space group P4/mmm (No. 123)
Symmetry-distinct sites (fractional):
Be (0.0000, 0.5000, 0.0000) [2 per cell]  2 Cr 2.11
Cr (0.0000, 0.0000, 0.0000) [1 per cell]  4 Be 2.11
Sb (0.0000, 0.0000, 0.5000) [1 per cell]  2 Cr 2.51
O (0.5000, 0.5000, 0.5000) [1 per cell]  4 Sb 2.99, 8 Be 3.28


Entry 8:
An optimized crystal structure of ScBeCrO4, computed with PBE+U.

Results
**Crystal system**: orthorhombic
**Calculated total energy**: -0.582 Ry/atom

Cell: 5.7653 5.9195 8.2073 Å, 90.00 90.00 90.00°
Last column: nearest neighbours and their distance in Å.
Space group Imma (No. 74)
Symmetry-distinct sites (fractional):
Sc (0.0000, 0.0000, 0.0000) [4 per cell]  6 O 2.10
Be (0.0000, 0.2500, 0.3869) [4 per cell]  4 O 1.69-1.85
Cr (0.2500, 0.2500, 0.7500) [4 per cell]  6 O 2.04-2.05
O (0.0000, 0.0048, 0.7438) [8 per cell]  1 Be 1.85, 2 Cr 2.05
O (0.2428, 0.2500, 0.5017) [8 per cell]  1 Be 1.69


Entry 9:
An optimized crystal structure of Be2CrSeO8, computed with PBE+U.

Results
**Crystal system**: trigonal
**Calculated total energy**: -0.427 Ry/atom

Cell: 5.2030 5.2030 5.3699 Å, 90.00 90.00 120.00°
Last column: nearest neighbours and their distance in Å.
Space group P-3 (No. 147)
Symmetry-distinct sites (fractional):
Be (0.3333, 0.6667, 0.2655) [2 per cell]  4 O 1.62-1.64
Cr (0.0000, 0.0000, 0.5000) [1 per cell]  6 O 2.05
Se (0.0000, 0.0000, 0.0000) [1 per cell]  6 O 1.83
O (0.1214, 0.3087, 0.2202) [6 per cell]  1 Be 1.64, 1 Se 1.83
O (0.3333, 0.6667, 0.5677) [2 per cell]  1 Be 1.62


Entry 10:
An optimized crystal structure of BeCrSi2O6, computed with PBE+U.

Results
**Crystal system**: monoclinic
**Calculated total energy**: -0.567 Ry/atom

Cell: 9.7620 9.5947 5.2609 Å, 90.00 114.59 90.00°
Last column: nearest neighbours and their distance in Å.
Space group C2/c (No. 15)
Symmetry-distinct sites (fractional):
Be (0.0000, 0.2056, 0.2500) [4 per cell]  4 O 1.62-1.68
Cr (0.0000, 0.1142, 0.7500) [4 per cell]  4 O 2.05-2.27
Si (0.1960, 0.4128, 0.6801) [8 per cell]  4 O 1.62-1.67
O (0.1003, 0.2725, 0.5540) [8 per cell]  1 Si 1.62, 1 Be 1.62
O (0.1169, 0.1016, 0.1759) [8 per cell]  1 Si 1.67, 1 Be 1.68
O (0.1572, 0.4681, 0.9375) [8 per cell]  2 Si 1.64


Entry 11:
An optimized crystal structure of BeCrSnO4, computed with PBE+U.

Results
**Crystal system**: orthorhombic
**Calculated total energy**: -0.494 Ry/atom

Cell: 5.8943 6.2544 8.2396 Å, 90.00 90.00 90.00°
Last column: nearest neighbours and their distance in Å.
Space group Imma (No. 74)
Symmetry-distinct sites (fractional):
Be (0.0000, 0.2500, 0.1457) [4 per cell]  2 O 1.66
Cr (0.2500, 0.2500, 0.7500) [4 per cell]  6 O 2.06-2.26
Sn (0.0000, 0.0000, 0.5000) [4 per cell]  6 O 2.07-2.15
O (0.0000, 0.0232, 0.2494) [8 per cell]  1 Be 1.66
O (0.2499, 0.2500, 0.5006) [8 per cell]  1 Be 1.90, 1 Cr 2.06


Entry 12:
An optimized crystal structure of BeCr2SnO6, computed with PBE+U.

Results
**Crystal system**: trigonal
**Calculated total energy**: -0.523 Ry/atom

Cell: 5.0455 5.0455 14.2747 Å, 90.00 90.00 120.00°
Last column: nearest neighbours and their distance in Å.
Space group R3 (No. 146, hexagonal axes)
Symmetry-distinct sites (fractional):
Be (0.0000, 0.0000, 0.0000) [3 per cell]  3 O 1.64
Cr (0.0000, 0.0000, 0.2490) [3 per cell]  6 O 2.00-2.09
Cr (0.0000, 0.0000, 0.7542) [3 per cell]  6 O 1.98-2.13
Sn (0.0000, 0.0000, 0.5522) [3 per cell]  6 O 2.00-2.20
O (0.0033, 0.3587, 0.3235) [9 per cell]  1 Be 1.64
O (0.0341, 0.6852, 0.8274) [9 per cell]  2 Cr 1.98-2.00, 1 Sn 2.00


Entry 13:
An optimized crystal structure of SrBe3Cr4O12, computed with PBE+U.

Results
**Crystal system**: cubic
**Calculated total energy**: -0.512 Ry/atom

Cell: 7.2150 7.2150 7.2150 Å, 90.00 90.00 90.00°
Last column: nearest neighbours and their distance in Å.
Space group Im-3 (No. 204)
Symmetry-distinct sites (fractional):
Sr (0.0000, 0.0000, 0.0000) [2 per cell]  12 O 2.62
Be (0.0000, 0.0000, 0.5000) [6 per cell]  4 O 1.73
Cr (0.2500, 0.2500, 0.2500) [8 per cell]  6 O 1.98
O (0.0000, 0.1641, 0.3247) [24 per cell]  1 Be 1.73


Entry 14:
An optimized crystal structure of SrBeCr2O8, computed with PBE+U.

Results
**Crystal system**: trigonal
**Calculated total energy**: -0.490 Ry/atom

Cell: 4.8467 4.8467 21.6060 Å, 90.00 90.00 120.00°
Last column: nearest neighbours and their distance in Å.
Space group R-3 (No. 148, hexagonal axes)
Symmetry-distinct sites (fractional):
Sr (0.0000, 0.0000, 0.0000) [3 per cell]  12 O 2.82-3.06
Be (0.0000, 0.0000, 0.5000) [3 per cell]  6 O 1.86
Cr (0.0000, 0.0000, 0.2396) [6 per cell]  4 O 1.66-1.68
O (0.0000, 0.0000, 0.3172) [6 per cell]  1 Cr 1.68
O (0.0126, 0.6413, 0.1157) [18 per cell]  1 Cr 1.66, 1 Be 1.86


Entry 15:
An optimized crystal structure of Sr3Be2CrO6, computed with PBE+U.

Results
**Crystal system**: trigonal
**Calculated total energy**: -0.482 Ry/atom

Cell: 5.4528 5.4528 6.5877 Å, 90.00 90.00 120.00°
Last column: nearest neighbours and their distance in Å.
Space group P-3m1 (No. 164)
Symmetry-distinct sites (fractional):
Sr (0.0000, 0.0000, 0.0000) [1 per cell]  6 O 2.58
Sr (0.3333, 0.6667, 0.6725) [2 per cell]  1 Be 2.68, 9 O 2.73-2.86
Be (0.3333, 0.6667, 0.2663) [2 per cell]  3 O 1.55
Cr (0.0000, 0.0000, 0.5000) [1 per cell]  6 O 2.06
O (0.1712, 0.3423, 0.3054) [6 per cell]  1 Be 1.55


Entry 16:
An optimized crystal structure of Sr2Be2CrO6, computed with PBE+U.

Results
**Crystal system**: trigonal
**Calculated total energy**: -0.498 Ry/atom

Cell: 5.3406 5.3406 15.4814 Å, 90.00 90.00 120.00°
Last column: nearest neighbours and their distance in Å.
Space group R-3m (No. 166, hexagonal axes)
Symmetry-distinct sites (fractional):
Sr (0.0000, 0.0000, 0.2209) [6 per cell]  9 O 2.71-2.72, 1 Be 2.96
Be (0.0000, 0.0000, 0.4124) [6 per cell]  3 O 1.53
Cr (0.0000, 0.0000, 0.0000) [3 per cell]  6 O 1.96
O (0.0021, 0.5011, 0.2556) [18 per cell]  1 Be 1.53


Entry 17:
An optimized crystal structure of BeCr2TcO6, computed with PBE+U.

Results
**Crystal system**: trigonal
**Calculated total energy**: -0.566 Ry/atom

Cell: 4.9386 4.9386 14.3636 Å, 90.00 90.00 120.00°
Last column: nearest neighbours and their distance in Å.
Space group R3 (No. 146, hexagonal axes)
Symmetry-distinct sites (fractional):
Be (0.0000, 0.0000, 0.0000) [3 per cell]  3 O 1.59
Cr (0.0000, 0.0000, 0.2475) [3 per cell]  6 O 2.00-2.07
Cr (0.0000, 0.0000, 0.7552) [3 per cell]  6 O 1.97-2.12
Tc (0.0000, 0.0000, 0.5638) [3 per cell]  6 O 1.95-2.11
O (0.0141, 0.6733, 0.8299) [9 per cell]  1 Tc 1.95, 2 Cr 1.97-2.00
O (0.0206, 0.3359, 0.6592) [9 per cell]  1 Be 1.59


Entry 18:
An optimized crystal structure of Be2Tl2CrO6, computed with PBE+U.

Results
**Crystal system**: trigonal
**Calculated total energy**: -0.435 Ry/atom

Cell: 5.3059 5.3059 15.7214 Å, 90.00 90.00 120.00°
Last column: nearest neighbours and their distance in Å.
Space group R-3m (No. 166, hexagonal axes)
Symmetry-distinct sites (fractional):
Be (0.0000, 0.0000, 0.0896) [6 per cell]  3 O 1.54
Tl (0.0000, 0.0000, 0.2888) [6 per cell]  9 O 2.56-2.73
Cr (0.0000, 0.0000, 0.5000) [3 per cell]  6 O 1.98
O (0.0010, 0.5005, 0.2471) [18 per cell]  1 Be 1.54


Entry 19:
An optimized crystal structure of BeTl2CrO4, computed with PBE+U.

Results
**Crystal system**: orthorhombic
**Calculated total energy**: -0.427 Ry/atom

Cell: 4.7027 11.4380 20.6954 Å, 90.00 90.00 90.00°
Last column: nearest neighbours and their distance in Å.
Space group Fddd (No. 70, origin choice 2)
Symmetry-distinct sites (fractional):
Be (0.1250, 0.1250, 0.1250) [8 per cell]  4 O 1.68
Tl (0.1250, 0.1250, 0.4500) [16 per cell]  8 O 3.05-3.18
Cr (0.1250, 0.1250, 0.6250) [8 per cell]  4 O 1.80
O (0.1060, 0.2932, 0.3326) [32 per cell]  1 Be 1.68, 1 Cr 1.80


Entry 20:
An optimized crystal structure of TmBeCrO4, computed with PBE+U.

Results
**Crystal system**: orthorhombic
**Calculated total energy**: -0.558 Ry/atom

Cell: 5.8321 6.4510 8.4527 Å, 90.00 90.00 90.00°
Last column: nearest neighbours and their distance in Å.
Space group Imma (No. 74)
Symmetry-distinct sites (fractional):
Tm (0.0000, 0.0000, 0.0000) [4 per cell]  6 O 2.19-2.22
Be (0.0000, 0.2500, 0.4156) [4 per cell]  2 O 1.57
Cr (0.2500, 0.2500, 0.7500) [4 per cell]  6 O 2.04-2.09
O (0.0000, 0.0292, 0.7420) [8 per cell]  2 Cr 2.04, 1 Tm 2.19, 1 Be 2.24
O (0.2384, 0.2500, 0.5026) [8 per cell]  1 Be 1.57